# 1
The following is a PBEsol calculation of a relaxed NiOsPt crystal, from Alexandria.

Values from the calculation:
- Formation energy from the elements: 0.243 eV/atom
- Space-group type: P3m1
- V: 40 Å³/cell

abc: 2.597 4.211 4.211
angles: 120.00 90.00 90.00
Atoms (fractional coordinates):
1 Ni 0.169 0.000 0.000
2 Os 0.666 0.333 0.667
3 Pt 0.166 0.667 0.333

# 2
The following is a PBEsol calculation of a relaxed Ni2OsPt crystal, from Alexandria.

Values from the calculation:
- Formation energy from the elements: 0.035 eV/atom
- Space-group type: R-3m
- V: 51 Å³/cell

abc: 2.649 2.649 8.468
angles: 81.00 81.00 60.00
Atoms (fractional coordinates):
1 Ni 0.247 0.247 0.258
2 Ni 0.753 0.753 0.742
3 Os 0.500 0.500 0.500
4 Pt 0.000 0.000 0.000

# 3
The following is a PBEsol calculation of a relaxed NiOsPt2 crystal, from Alexandria.

Values from the calculation:
- Formation energy from the elements: 0.031 eV/atom
- Space-group type: P4mm
- V: 54 Å³/cell
- Energy above the most stable polymorph in this dataset: 0 meV/atom

abc: 2.700 2.700 7.453
angles: 90.00 90.00 90.00
Atoms (fractional coordinates):
1 Ni 0.000 0.000 0.509
2 Os 0.500 0.500 0.732
3 Pt 0.000 0.000 0.990
4 Pt 0.500 0.500 0.269

# 4
The following is a PBEsol calculation of a relaxed NiOsPt2 crystal, from Alexandria.

Values from the calculation:
- Formation energy from the elements: 0.095 eV/atom
- Space-group type: Pmm2
- V: 55 Å³/cell
- Energy above the most stable polymorph in this dataset: 64 meV/atom

abc: 2.680 4.362 4.697
angles: 90.00 90.00 90.00
Atoms (fractional coordinates):
1 Ni 0.375 0.000 0.467
2 Os 0.375 0.500 0.782
3 Pt 0.875 0.000 0.955
4 Pt 0.875 0.500 0.295

# 5
The following is a PBEsol calculation of a relaxed NiOs2Pt crystal, from Alexandria.

Values from the calculation:
- Formation energy from the elements: 0.049 eV/atom
- Space-group type: Pmm2
- V: 54 Å³/cell
- Energy above the most stable polymorph in this dataset: 0 meV/atom

abc: 2.701 3.733 5.332
angles: 90.00 90.00 90.00
Atoms (fractional coordinates):
1 Ni 0.500 0.500 0.753
2 Os 0.000 0.000 0.002
3 Os 0.500 0.500 0.233
4 Pt 0.000 0.000 0.512

# 6
The following is a PBEsol calculation of a relaxed NiOs2Pt crystal, from Alexandria.

Values from the calculation:
- Formation energy from the elements: 0.550 eV/atom
- Space-group type: Fm-3m
- V: 54 Å³/cell
- Energy above the most stable polymorph in this dataset: 501 meV/atom

abc: 4.256 4.256 4.256
angles: 60.00 60.00 60.00
Atoms (fractional coordinates):
1 Ni 0.000 0.000 0.000
2 Os 0.250 0.250 0.250
3 Os 0.750 0.750 0.750
4 Pt 0.500 0.500 0.500

Which formula does entry 3 have?
NiOsPt2